Entry 1:
# YTm2Cu6 (PBE-GGA, relaxed)
# - DFT formation energy: -0.260 eV/atom
data_YTm2Cu6
_chemical_formula_sum 'Y1 Tm2 Cu6'
_space_group_name_H-M_alt 'P 6/m m m'
_space_group_IT_number 191
_space_group_name_Hall '-P 6 2'
_cell_length_a 7.3038
_cell_length_b 7.3038
_cell_length_c 3.5144
_cell_angle_alpha 90.00
_cell_angle_beta 90.00
_cell_angle_gamma 120.00
loop_
_atom_site_label
_atom_site_type_symbol
_atom_site_fract_x
_atom_site_fract_y
_atom_site_fract_z
Y1 Y 0.0000 0.0000 0.0000
Tm1 Tm 0.3333 0.6667 0.0000
Cu1 Cu 0.0000 0.3348 0.5000

***

Entry 2:
# Ca5LaSe6 (PBE-GGA, relaxed)
# - Energy relative to the elements, uncorrected: -1995 meV per atom
data_Ca5LaSe6
_chemical_formula_sum 'Ca10 La2 Se12'
_space_group_name_H-M_alt 'C 1 2/m 1'
_space_group_IT_number 12
_space_group_name_Hall '-C 2y'
_cell_length_a 7.328
_cell_length_b 12.689
_cell_length_c 7.331
_cell_angle_alpha 90.00
_cell_angle_beta 109.49
_cell_angle_gamma 90.00
loop_
_atom_site_label
_atom_site_type_symbol
_atom_site_fract_x
_atom_site_fract_y
_atom_site_fract_z
Ca1 Ca 0.000 0.000 0.000
Ca2 Ca 0.000 0.167 0.500
Ca3 Ca 0.000 0.334 0.000
La1 La 0.000 0.500 0.500
Se1 Se 0.247 0.000 0.752
Se2 Se 0.247 0.168 0.248

***

Entry 3:
# K3Na2Pb (PBE-GGA, relaxed)
# - DFT formation energy: 0.254 eV/atom
data_K3Na2Pb
_chemical_formula_sum 'K3 Na2 Pb1'
_space_group_name_H-M_alt 'P 6/m m m'
_space_group_IT_number 191
_space_group_name_Hall '-P 6 2'
_cell_length_a 7.1046
_cell_length_b 7.1046
_cell_length_c 6.5109
_cell_angle_alpha 90.00
_cell_angle_beta 90.00
_cell_angle_gamma 120.00
loop_
_atom_site_label
_atom_site_type_symbol
_atom_site_fract_x
_atom_site_fract_y
_atom_site_fract_z
K1 K 0.0000 0.5000 0.0000
Na1 Na 0.3333 0.6667 0.5000
Pb1 Pb 0.0000 0.0000 0.5000

***

no.,V (Å³/atom),VASP energy (eV per atom)
1,18.0,-4.70
2,26.8,-4.98
3,47.4,-1.35